1.
# TaNbSi3, relaxed, DFT PBE
# - raw formation energy (eV/atom) = 1.24
# - relative energy among the computed polymorphs (meV/atom) = 104
# - size of the total moment (μB/cell) = 0.001
data_TaNbSi3
_chemical_formula_sum 'Ta1 Nb1 Si3'
_symmetry_space_group_name_H-M 'P m -3 m'
_symmetry_Int_Tables_number 221
_symmetry_space_group_name_Hall '-P 4 2 3'
_cell_length_a 4.680
_cell_length_b 4.680
_cell_length_c 4.680
_cell_angle_alpha 90.00
_cell_angle_beta 90.00
_cell_angle_gamma 90.00
loop_
_atom_site_label
_atom_site_type_symbol
_atom_site_fract_x
_atom_site_fract_y
_atom_site_fract_z
_atom_site_occupancy
Ta1 Ta 0.000 0.000 0.000 1
Nb1 Nb 0.500 0.500 0.500 1
Si1 Si 0.000 0.500 0.500 1

2.
# Ta5Nb5Si6, relaxed, DFT PBE
# - raw formation energy (eV/atom) = -0.55
# - relative energy among the computed polymorphs (meV/atom) = 66
# - size of the total moment (μB/cell) = 0.000
data_Ta5Nb5Si6
_chemical_formula_sum 'Ta10 Nb10 Si12'
_symmetry_space_group_name_H-M 'A m m 2'
_symmetry_Int_Tables_number 38
_symmetry_space_group_name_Hall 'A 2 -2'
_cell_length_a 5.254
_cell_length_b 13.130
_cell_length_c 7.554
_cell_angle_alpha 90.00
_cell_angle_beta 90.00
_cell_angle_gamma 90.00
loop_
_atom_site_label
_atom_site_type_symbol
_atom_site_fract_x
_atom_site_fract_y
_atom_site_fract_z
_atom_site_occupancy
Ta1 Ta 0.000 0.000 0.000 1
Ta2 Ta 0.000 0.117 0.656 1
Ta3 Ta 0.500 0.128 0.901 1
Nb1 Nb 0.251 0.166 0.272 1
Nb2 Nb 0.500 0.000 0.517 1
Si1 Si 0.000 0.000 0.374 1
Si2 Si 0.000 0.200 0.972 1
Si3 Si 0.500 0.000 0.162 1
Si4 Si 0.500 0.195 0.577 1

3.
# Ta2NbSi, relaxed, DFT PBE
# - raw formation energy (eV/atom) = 0.37
# - size of the total moment (μB/cell) = 0.000
data_Ta2NbSi
_chemical_formula_sum 'Ta8 Nb4 Si4'
_symmetry_space_group_name_H-M 'I -4 2 d'
_symmetry_Int_Tables_number 122
_symmetry_space_group_name_Hall 'I -4 2bw'
_cell_length_a 7.603
_cell_length_b 7.603
_cell_length_c 5.156
_cell_angle_alpha 90.00
_cell_angle_beta 90.00
_cell_angle_gamma 90.00
loop_
_atom_site_label
_atom_site_type_symbol
_atom_site_fract_x
_atom_site_fract_y
_atom_site_fract_z
_atom_site_occupancy
Ta1 Ta 0.203 0.250 0.125 1
Nb1 Nb 0.000 0.000 0.500 1
Si1 Si 0.000 0.000 0.000 1

4.
# TaNb2Si6, relaxed, DFT PBE
# - raw formation energy (eV/atom) = -0.53
# - size of the total moment (μB/cell) = 0.000
data_TaNb2Si6
_chemical_formula_sum 'Ta2 Nb4 Si12'
_symmetry_space_group_name_H-M 'C 2 2 2'
_symmetry_Int_Tables_number 21
_symmetry_space_group_name_Hall 'C 2 2'
_cell_length_a 4.810
_cell_length_b 8.326
_cell_length_c 6.619
_cell_angle_alpha 90.00
_cell_angle_beta 90.00
_cell_angle_gamma 90.00
loop_
_atom_site_label
_atom_site_type_symbol
_atom_site_fract_x
_atom_site_fract_y
_atom_site_fract_z
_atom_site_occupancy
Ta1 Ta 0.000 0.000 0.000 1
Nb1 Nb 0.250 0.250 0.668 1
Si1 Si 0.000 0.341 0.000 1
Si2 Si 0.239 0.420 0.334 1

5.
# TaNb2Si2, relaxed, DFT PBE
# - raw formation energy (eV/atom) = -0.65
# - size of the total moment (μB/cell) = 0.000
data_TaNb2Si2
_chemical_formula_sum 'Ta2 Nb4 Si4'
_symmetry_space_group_name_H-M 'P 4/m b m'
_symmetry_Int_Tables_number 127
_symmetry_space_group_name_Hall '-P 4 2ab'
_cell_length_a 6.747
_cell_length_b 6.747
_cell_length_c 3.511
_cell_angle_alpha 90.00
_cell_angle_beta 90.00
_cell_angle_gamma 90.00
loop_
_atom_site_label
_atom_site_type_symbol
_atom_site_fract_x
_atom_site_fract_y
_atom_site_fract_z
_atom_site_occupancy
Ta1 Ta 0.000 0.000 0.000 1
Nb1 Nb 0.172 0.328 0.500 1
Si1 Si 0.128 0.628 0.000 1

6.
# Zr2TaNbSi, relaxed, DFT PBE
# - raw formation energy (eV/atom) = 1.17
# - size of the total moment (μB/cell) = 0.000
data_Zr2TaNbSi
_chemical_formula_sum 'Zr2 Ta1 Nb1 Si1'
_symmetry_space_group_name_H-M 'P 4/m m m'
_symmetry_Int_Tables_number 123
_symmetry_space_group_name_Hall '-P 4 2'
_cell_length_a 5.014
_cell_length_b 5.014
_cell_length_c 4.735
_cell_angle_alpha 90.00
_cell_angle_beta 90.00
_cell_angle_gamma 90.00
loop_
_atom_site_label
_atom_site_type_symbol
_atom_site_fract_x
_atom_site_fract_y
_atom_site_fract_z
_atom_site_occupancy
Zr1 Zr 0.000 0.500 0.000 1
Ta1 Ta 0.000 0.000 0.500 1
Nb1 Nb 0.500 0.500 0.000 1
Si1 Si 0.500 0.500 0.500 1

7.
# TbNbSi, relaxed, DFT PBE
# - raw formation energy (eV/atom) = -0.27
# - size of the total moment (μB/cell) = 0.000
data_TbNbSi
_chemical_formula_sum 'Tb6 Nb6 Si6'
_symmetry_space_group_name_H-M 'P m n 21'
_symmetry_Int_Tables_number 31
_symmetry_space_group_name_Hall 'P 2ac -2'
_cell_length_a 9.163
_cell_length_b 7.455
_cell_length_c 5.684
_cell_angle_alpha 90.00
_cell_angle_beta 90.00
_cell_angle_gamma 90.00
loop_
_atom_site_label
_atom_site_type_symbol
_atom_site_fract_x
_atom_site_fract_y
_atom_site_fract_z
_atom_site_occupancy
Tb1 Tb 0.000 0.087 0.000 1
Tb2 Tb 0.194 0.645 0.745 1
Nb1 Nb 0.000 0.651 0.263 1
Nb2 Nb 0.156 0.000 0.474 1
Si1 Si 0.000 0.319 0.478 1
Si2 Si 0.232 0.267 0.747 1

8.
# TbNb2Si2, relaxed, DFT PBE
# - raw formation energy (eV/atom) = -0.69
# - size of the total moment (μB/cell) = 0.000
data_TbNb2Si2
_chemical_formula_sum 'Tb2 Nb4 Si4'
_symmetry_space_group_name_H-M 'I 4/m m m'
_symmetry_Int_Tables_number 139
_symmetry_space_group_name_Hall '-I 4 2'
_cell_length_a 4.025
_cell_length_b 4.025
_cell_length_c 11.709
_cell_angle_alpha 90.00
_cell_angle_beta 90.00
_cell_angle_gamma 90.00
loop_
_atom_site_label
_atom_site_type_symbol
_atom_site_fract_x
_atom_site_fract_y
_atom_site_fract_z
_atom_site_occupancy
Tb1 Tb 0.000 0.000 0.000 1
Nb1 Nb 0.000 0.500 0.250 1
Si1 Si 0.000 0.000 0.398 1

9.
# TbNb4Si4, relaxed, DFT PBE
# - raw formation energy (eV/atom) = -0.38
# - size of the total moment (μB/cell) = 0.000
data_TbNb4Si4
_chemical_formula_sum 'Tb2 Nb8 Si8'
_symmetry_space_group_name_H-M 'P 42/n'
_symmetry_Int_Tables_number 86
_cell_length_a 8.448
_cell_length_b 8.448
_cell_length_c 5.022
_cell_angle_alpha 90.00
_cell_angle_beta 90.00
_cell_angle_gamma 90.00
loop_
_symmetry_equiv_pos_as_xyz
'x,y,z'
'-x,-y,-z'
'-y,x+1/2,z+1/2'
'y,-x+1/2,-z+1/2'
'-x+1/2,-y+1/2,z'
'x+1/2,y+1/2,-z'
'y+1/2,-x,z+1/2'
'-y+1/2,x,-z+1/2'
loop_
_atom_site_label
_atom_site_type_symbol
_atom_site_fract_x
_atom_site_fract_y
_atom_site_fract_z
_atom_site_occupancy
Tb1 Tb 0.250 0.250 0.250 1
Nb1 Nb 0.114 0.623 0.127 1
Si1 Si 0.070 0.587 0.637 1

10.
# TbNbSi2Tc, relaxed, DFT PBE
# - raw formation energy (eV/atom) = -0.65
# - size of the total moment (μB/cell) = 0.000
data_TbNbSi2Tc
_chemical_formula_sum 'Tb2 Nb2 Si4 Tc2'
_symmetry_space_group_name_H-M 'I -4 m 2'
_symmetry_Int_Tables_number 119
_symmetry_space_group_name_Hall 'I -4 -2'
_cell_length_a 4.024
_cell_length_b 4.024
_cell_length_c 11.132
_cell_angle_alpha 90.00
_cell_angle_beta 90.00
_cell_angle_gamma 90.00
loop_
_atom_site_label
_atom_site_type_symbol
_atom_site_fract_x
_atom_site_fract_y
_atom_site_fract_z
_atom_site_occupancy
Tb1 Tb 0.000 0.000 0.000 1
Nb1 Nb 0.000 0.500 0.750 1
Si1 Si 0.000 0.000 0.392 1
Tc1 Tc 0.000 0.500 0.250 1

11.
# NbSiTc, relaxed, DFT PBE
# - raw formation energy (eV/atom) = -0.64
# - relative energy among the computed polymorphs (meV/atom) = 0
# - size of the total moment (μB/cell) = 0.000
data_NbSiTc
_chemical_formula_sum 'Nb12 Si12 Tc12'
_symmetry_space_group_name_H-M 'I m a 2'
_symmetry_Int_Tables_number 46
_symmetry_space_group_name_Hall 'I 2 -2a'
_cell_length_a 6.933
_cell_length_b 11.646
_cell_length_c 6.739
_cell_angle_alpha 90.00
_cell_angle_beta 90.00
_cell_angle_gamma 90.00
loop_
_atom_site_label
_atom_site_type_symbol
_atom_site_fract_x
_atom_site_fract_y
_atom_site_fract_z
_atom_site_occupancy
Nb1 Nb 0.250 0.003 0.000 1
Nb2 Nb 0.250 0.211 0.382 1
Nb3 Nb 0.250 0.697 0.886 1
Si1 Si 0.003 0.668 0.587 1
Si2 Si 0.250 0.022 0.600 1
Tc1 Tc 0.000 0.000 0.339 1
Tc2 Tc 0.031 0.626 0.216 1

12.
# NbSiTc2, relaxed, DFT PBE
# - raw formation energy (eV/atom) = 0.19
# - size of the total moment (μB/cell) = 0.000
data_NbSiTc2
_chemical_formula_sum 'Nb4 Si4 Tc8'
_symmetry_space_group_name_H-M 'I -4 2 d'
_symmetry_Int_Tables_number 122
_symmetry_space_group_name_Hall 'I -4 2bw'
_cell_length_a 3.812
_cell_length_b 3.812
_cell_length_c 18.288
_cell_angle_alpha 90.00
_cell_angle_beta 90.00
_cell_angle_gamma 90.00
loop_
_atom_site_label
_atom_site_type_symbol
_atom_site_fract_x
_atom_site_fract_y
_atom_site_fract_z
_atom_site_occupancy
Nb1 Nb 0.000 0.000 0.000 1
Si1 Si 0.000 0.000 0.500 1
Tc1 Tc 0.188 0.250 0.625 1

13.
# NbSiTc3, relaxed, DFT PBE
# - raw formation energy (eV/atom) = 1.93
# - relative energy among the computed polymorphs (meV/atom) = 1381
# - size of the total moment (μB/cell) = 2.654
data_NbSiTc3
_chemical_formula_sum 'Nb1 Si1 Tc3'
_symmetry_space_group_name_H-M 'P m -3 m'
_symmetry_Int_Tables_number 221
_symmetry_space_group_name_Hall '-P 4 2 3'
_cell_length_a 4.719
_cell_length_b 4.719
_cell_length_c 4.719
_cell_angle_alpha 90.00
_cell_angle_beta 90.00
_cell_angle_gamma 90.00
loop_
_atom_site_label
_atom_site_type_symbol
_atom_site_fract_x
_atom_site_fract_y
_atom_site_fract_z
_atom_site_occupancy
Nb1 Nb 0.000 0.000 0.000 1
Si1 Si 0.500 0.500 0.500 1
Tc1 Tc 0.000 0.000 0.500 1

14.
# NbSi3Tc, relaxed, DFT PBE
# - raw formation energy (eV/atom) = 0.87
# - relative energy among the computed polymorphs (meV/atom) = 0
# - size of the total moment (μB/cell) = 3.475
data_NbSi3Tc
_chemical_formula_sum 'Nb1 Si3 Tc1'
_symmetry_space_group_name_H-M 'P m -3 m'
_symmetry_Int_Tables_number 221
_symmetry_space_group_name_Hall '-P 4 2 3'
_cell_length_a 4.596
_cell_length_b 4.596
_cell_length_c 4.596
_cell_angle_alpha 90.00
_cell_angle_beta 90.00
_cell_angle_gamma 90.00
loop_
_atom_site_label
_atom_site_type_symbol
_atom_site_fract_x
_atom_site_fract_y
_atom_site_fract_z
_atom_site_occupancy
Nb1 Nb 0.000 0.000 0.000 1
Si1 Si 0.000 0.500 0.500 1
Tc1 Tc 0.500 0.500 0.500 1

15.
# NbSiTc, relaxed, DFT PBE
# - raw formation energy (eV/atom) = -0.38
# - relative energy among the computed polymorphs (meV/atom) = 256
# - size of the total moment (μB/cell) = 0.000
data_NbSiTc
_chemical_formula_sum 'Nb2 Si2 Tc2'
_symmetry_space_group_name_H-M 'I 4 m m'
_symmetry_Int_Tables_number 107
_symmetry_space_group_name_Hall 'I 4 -2'
_cell_length_a 3.119
_cell_length_b 3.119
_cell_length_c 9.247
_cell_angle_alpha 90.00
_cell_angle_beta 90.00
_cell_angle_gamma 90.00
loop_
_atom_site_label
_atom_site_type_symbol
_atom_site_fract_x
_atom_site_fract_y
_atom_site_fract_z
_atom_site_occupancy
Nb1 Nb 0.000 0.000 0.000 1
Si1 Si 0.000 0.000 0.316 1
Tc1 Tc 0.000 0.000 0.678 1

16.
# Nb2SiTc2, relaxed, DFT PBE
# - raw formation energy (eV/atom) = 0.55
# - size of the total moment (μB/cell) = 0.000
data_Nb2SiTc2
_chemical_formula_sum 'Nb4 Si2 Tc4'
_symmetry_space_group_name_H-M 'I 4/m m m'
_symmetry_Int_Tables_number 139
_symmetry_space_group_name_Hall '-I 4 2'
_cell_length_a 4.223
_cell_length_b 4.223
_cell_length_c 10.700
_cell_angle_alpha 90.00
_cell_angle_beta 90.00
_cell_angle_gamma 90.00
loop_
_atom_site_label
_atom_site_type_symbol
_atom_site_fract_x
_atom_site_fract_y
_atom_site_fract_z
_atom_site_occupancy
Nb1 Nb 0.000 0.500 0.250 1
Si1 Si 0.000 0.000 0.000 1
Tc1 Tc 0.000 0.000 0.388 1

17.
# NbSiTc2, relaxed, DFT PBE
# - raw formation energy (eV/atom) = -0.39
# - size of the total moment (μB/cell) = 0.000
data_NbSiTc2
_chemical_formula_sum 'Nb1 Si1 Tc2'
_symmetry_space_group_name_H-M 'P 4/m m m'
_symmetry_Int_Tables_number 123
_symmetry_space_group_name_Hall '-P 4 2'
_cell_length_a 4.299
_cell_length_b 4.299
_cell_length_c 3.188
_cell_angle_alpha 90.00
_cell_angle_beta 90.00
_cell_angle_gamma 90.00
loop_
_atom_site_label
_atom_site_type_symbol
_atom_site_fract_x
_atom_site_fract_y
_atom_site_fract_z
_atom_site_occupancy
Nb1 Nb 0.000 0.000 0.000 1
Si1 Si 0.500 0.500 0.000 1
Tc1 Tc 0.000 0.500 0.500 1

18.
# NbSiTc3, relaxed, DFT PBE
# - raw formation energy (eV/atom) = 0.55
# - relative energy among the computed polymorphs (meV/atom) = 0
# - size of the total moment (μB/cell) = 0.000
data_NbSiTc3
_chemical_formula_sum 'Nb1 Si1 Tc3'
_symmetry_space_group_name_H-M 'P m -3 m'
_symmetry_Int_Tables_number 221
_symmetry_space_group_name_Hall '-P 4 2 3'
_cell_length_a 4.376
_cell_length_b 4.376
_cell_length_c 4.376
_cell_angle_alpha 90.00
_cell_angle_beta 90.00
_cell_angle_gamma 90.00
loop_
_atom_site_label
_atom_site_type_symbol
_atom_site_fract_x
_atom_site_fract_y
_atom_site_fract_z
_atom_site_occupancy
Nb1 Nb 0.000 0.000 0.000 1
Si1 Si 0.500 0.500 0.500 1
Tc1 Tc 0.000 0.500 0.500 1

19.
# Nb3SiTc, relaxed, DFT PBE
# - raw formation energy (eV/atom) = 1.11
# - relative energy among the computed polymorphs (meV/atom) = 226
# - size of the total moment (μB/cell) = 0.000
data_Nb3SiTc
_chemical_formula_sum 'Nb3 Si1 Tc1'
_symmetry_space_group_name_H-M 'P m -3 m'
_symmetry_Int_Tables_number 221
_symmetry_space_group_name_Hall '-P 4 2 3'
_cell_length_a 4.773
_cell_length_b 4.773
_cell_length_c 4.773
_cell_angle_alpha 90.00
_cell_angle_beta 90.00
_cell_angle_gamma 90.00
loop_
_atom_site_label
_atom_site_type_symbol
_atom_site_fract_x
_atom_site_fract_y
_atom_site_fract_z
_atom_site_occupancy
Nb1 Nb 0.000 0.000 0.500 1
Si1 Si 0.500 0.500 0.500 1
Tc1 Tc 0.000 0.000 0.000 1

20.
# NbSi2Tc, relaxed, DFT PBE
# - raw formation energy (eV/atom) = -0.23
# - relative energy among the computed polymorphs (meV/atom) = 54
# - size of the total moment (μB/cell) = 0.010
data_NbSi2Tc
_chemical_formula_sum 'Nb4 Si8 Tc4'
_symmetry_space_group_name_H-M 'F m -3 m'
_symmetry_Int_Tables_number 225
_symmetry_space_group_name_Hall '-F 4 2 3'
_cell_length_a 6.140
_cell_length_b 6.140
_cell_length_c 6.140
_cell_angle_alpha 90.00
_cell_angle_beta 90.00
_cell_angle_gamma 90.00
loop_
_atom_site_label
_atom_site_type_symbol
_atom_site_fract_x
_atom_site_fract_y
_atom_site_fract_z
_atom_site_occupancy
Nb1 Nb 0.000 0.000 0.000 1
Si1 Si 0.250 0.250 0.250 1
Tc1 Tc 0.000 0.000 0.500 1

21.
# NbSiTc, relaxed, DFT PBE
# - raw formation energy (eV/atom) = -0.28
# - relative energy among the computed polymorphs (meV/atom) = 355
# - size of the total moment (μB/cell) = 0.000
data_NbSiTc
_chemical_formula_sum 'Nb4 Si4 Tc4'
_symmetry_space_group_name_H-M 'C m c m'
_symmetry_Int_Tables_number 63
_symmetry_space_group_name_Hall '-C 2c 2'
_cell_length_a 3.249
_cell_length_b 14.799
_cell_length_c 3.807
_cell_angle_alpha 90.00
_cell_angle_beta 90.00
_cell_angle_gamma 90.00
loop_
_atom_site_label
_atom_site_type_symbol
_atom_site_fract_x
_atom_site_fract_y
_atom_site_fract_z
_atom_site_occupancy
Nb1 Nb 0.000 0.098 0.250 1
Si1 Si 0.000 0.451 0.250 1
Tc1 Tc 0.000 0.285 0.250 1